Version a
Below is a relaxed structure of Rb2Fe2Ir, with properties calculated at the PBE-GGA level.

Structure (CIF):
```
data_Rb2Fe2Ir
_symmetry_space_group_name_H-M 'P 4/m b m'
_symmetry_Int_Tables_number 127
_symmetry_space_group_name_Hall '-P 4 2ab'
_cell_length_a 9.562
_cell_length_b 9.562
_cell_length_c 2.808
_cell_angle_alpha 90.00
_cell_angle_beta 90.00
_cell_angle_gamma 90.00
loop_
_atom_site_label
_atom_site_type_symbol
_atom_site_fract_x
_atom_site_fract_y
_atom_site_fract_z
_atom_site_occupancy
Rb1 Rb 0.130 0.370 0.000 1
Fe1 Fe 0.177 0.677 0.500 1
Ir1 Ir 0.000 0.000 0.000 1
```

Output
The spin magnetization comes out at 1.440 μB per atom. The calculation puts the volume at 25.67 A^3/atom.

---

Version b
Below is a relaxed structure of Rb2Fe2Ir, with properties calculated at the PBE-GGA level.

Structure (CIF):
```
data_Rb2Fe2Ir
_symmetry_space_group_name_H-M 'I 4/m m m'
_symmetry_Int_Tables_number 139
_symmetry_space_group_name_Hall '-I 4 2'
_cell_length_a 3.104
_cell_length_b 3.104
_cell_length_c 23.221
_cell_angle_alpha 90.00
_cell_angle_beta 90.00
_cell_angle_gamma 90.00
loop_
_atom_site_label
_atom_site_type_symbol
_atom_site_fract_x
_atom_site_fract_y
_atom_site_fract_z
_atom_site_occupancy
Rb1 Rb 0.000 0.000 0.111 1
Fe1 Fe 0.000 0.500 0.250 1
Ir1 Ir 0.000 0.000 0.500 1
```

Output
The spin magnetization comes out at 0.096 μB per atom. The calculation puts the volume at 22.38 A^3/atom.

---

Energetically preferred structure: version b | next structure: +753 meV/atom

---

Version a
Below is a relaxed structure of RbFe3Ir, with properties calculated at the PBE-GGA level.

Structure (CIF):
```
data_RbFe3Ir
_symmetry_space_group_name_H-M 'P m -3 m'
_symmetry_Int_Tables_number 221
_symmetry_space_group_name_Hall '-P 4 2 3'
_cell_length_a 4.490
_cell_length_b 4.490
_cell_length_c 4.490
_cell_angle_alpha 90.00
_cell_angle_beta 90.00
_cell_angle_gamma 90.00
loop_
_atom_site_label
_atom_site_type_symbol
_atom_site_fract_x
_atom_site_fract_y
_atom_site_fract_z
_atom_site_occupancy
Rb1 Rb 0.000 0.000 0.000 1
Fe1 Fe 0.000 0.000 0.500 1
Ir1 Ir 0.500 0.500 0.500 1
```

Output
The spin magnetization comes out at 1.730 μB per atom. The calculation puts the volume at 18.11 A^3/atom.

---

Version b
Below is a relaxed structure of RbFe3Ir, with properties calculated at the PBE-GGA level.

Structure (CIF):
```
data_RbFe3Ir
_symmetry_space_group_name_H-M 'P m -3 m'
_symmetry_Int_Tables_number 221
_symmetry_space_group_name_Hall '-P 4 2 3'
_cell_length_a 4.879
_cell_length_b 4.879
_cell_length_c 4.879
_cell_angle_alpha 90.00
_cell_angle_beta 90.00
_cell_angle_gamma 90.00
loop_
_atom_site_label
_atom_site_type_symbol
_atom_site_fract_x
_atom_site_fract_y
_atom_site_fract_z
_atom_site_occupancy
Rb1 Rb 0.000 0.000 0.000 1
Fe1 Fe 0.000 0.500 0.500 1
Ir1 Ir 0.500 0.500 0.500 1
```

Output
The spin magnetization comes out at 2.110 μB per atom. The calculation puts the volume at 23.23 A^3/atom.

---

Energetically preferred structure: version b | next structure: +1712 meV/atom